(1)
VASP calculation (PBE) on a relaxed Ba2ZnSiAg crystal.

Unit cell a=6.351 b=4.686 c=6.351 alpha=90.00 beta=90.00 gamma=90.00
Fractional coordinates of all 5 atoms:
Zn1 0.500 0.500 0.500
Si1 0.000 0.500 0.000
Ba1 0.000 0.000 0.500
Ba2 0.500 0.000 0.000
Ag1 0.000 0.000 0.000

Summary:
The value obtained for the formation energy without anion corrections is 0.03 eV per atom. Its space group is P4/mmm, No. 123.

(2)
VASP calculation (PBE) on a relaxed BaSm2Ag3 crystal.

Unit cell a=3.828 b=3.828 c=11.562 alpha=90.00 beta=90.00 gamma=90.00
Fractional coordinates of all 6 atoms:
Ba1 0.500 0.500 0.500
Sm1 0.500 0.500 0.841
Sm2 0.500 0.500 0.159
Ag1 0.000 0.000 0.000
Ag2 0.000 0.000 0.706
Ag3 0.000 0.000 0.294

Summary:
Its energy of formation from the pure elements is -5.576 kcal/mol of atoms. Its space group is P4/mmm, No. 123.

(3)
VASP calculation (PBE) on a relaxed BaSm4Ag5 crystal.

Unit cell a=3.773 b=3.773 c=19.057 alpha=90.00 beta=90.00 gamma=90.00
Fractional coordinates of all 10 atoms:
Ba1 0.000 0.000 0.000
Sm1 0.000 0.000 0.211
Sm2 0.000 0.000 0.405
Sm3 0.000 0.000 0.595
Sm4 0.000 0.000 0.789
Ag1 0.500 0.500 0.125
Ag2 0.500 0.500 0.307
Ag3 0.500 0.500 0.500
Ag4 0.500 0.500 0.693
Ag5 0.500 0.500 0.875

Summary:
Its energy of formation from the pure elements is -5.789 kcal/mol of atoms. Its space group is P4/mmm, No. 123.

(4)
VASP calculation (PBE) on a relaxed BaSmAg crystal.

Unit cell a=3.934 b=3.934 c=7.469 alpha=105.27 beta=105.27 gamma=90.00
Fractional coordinates of all 3 atoms:
Ag1 0.689 0.689 0.379
Ba1 0.020 0.020 0.041
Sm1 0.290 0.290 0.581

Summary:
Its energy of formation from the pure elements is -1.713 kcal/mol of atoms. Its space group is I4mm, No. 107.

Number 1: calculated total energy -13.258 eV for the cell shown, Fermi-level density of states 3.7 states/eV/f.u.. Number 2: calculated total energy -21.366 eV for the cell shown, Fermi-level density of states 5.4 states/eV/f.u.. Number 3: calculated total energy -37.566 eV for the cell shown, Fermi-level density of states 9.5 states/eV/f.u.. Number 4: calculated total energy -9.716 eV for the cell shown, Fermi-level density of states 3.3 states/eV/f.u..